No. 1
{"formula": "In3CuCl6", "functional": "PBE", "state": "optimized geometry", "lattice": [[-3.080, -5.789, -2.791], [-1.299, -5.676, 4.108], [-6.702, -1.668, 1.757]], "species": ["Cu", "In", "In", "In", "Cl", "Cl", "Cl", "Cl", "Cl", "Cl"], "fractional_positions": [[0.000, 0.000, 0.000], [0.750, 0.750, 0.750], [0.250, 0.250, 0.250], [0.500, 0.500, 0.500], [0.246, 0.754, 0.754], [0.246, 0.246, 0.754], [0.246, 0.754, 0.246], [0.754, 0.246, 0.754], [0.754, 0.754, 0.246], [0.754, 0.246, 0.246]], "space_group": "Fm-3m"}

=====

No. 2
{"formula": "Zn2SiIN4", "functional": "PBE", "state": "optimized geometry", "lattice": [[-2.320, 2.320, 4.762], [2.320, -2.320, 4.762], [2.320, 2.320, -4.762]], "species": ["Zn", "Zn", "N", "N", "N", "N", "I", "Si"], "fractional_positions": [[0.000, 0.000, 0.000], [0.250, 0.750, 0.500], [0.401, 0.347, 0.453], [0.894, 0.947, 0.547], [0.053, 0.599, 0.947], [0.653, 0.106, 0.053], [0.500, 0.500, 0.000], [0.750, 0.250, 0.500]], "space_group": "I-4"}

=====

Number 1: E -31.12 eV per cell. Number 2: E -39.51 eV per cell.